Entry 1:
KLi2Cd PBE optimized geometry; N(E_F) = 2.6 states/eV/cell; SG = R3m, No. 160; final energy = -5.9 eV per formula unit
1.0
4.9020 0.0000 0.0000
2.4510 4.2452 0.0000
2.4510 1.4151 6.3398
K Li Cd
1 2 1
Cartesian
4.9020 2.8302 3.2734
2.4510 1.4151 6.0790
2.4510 1.4151 0.5078
7.3530 4.2452 5.9894

Entry 2:
K2LiCd16 PBE optimized geometry; N(E_F) = 7.8 states/eV/cell; SG = R3m, No. 160; final energy = -20.2 eV per formula unit
1.0
7.8026 0.0652 0.9522
0.8509 7.7563 0.9522
0.0721 0.0652 7.8601
Li Cd K
1 16 2
Cartesian
7.9242 7.1623 8.8677
5.8336 2.3743 8.7972
3.1284 2.8276 7.3183
8.6610 7.8283 5.8685
6.3838 7.8080 3.9169
8.2782 4.0479 9.2640
5.6047 5.0658 2.4074
3.5106 6.6016 3.9286
5.2178 1.2450 5.8391
8.4114 5.5647 3.9169
0.8902 0.8046 0.9962
3.1771 7.8080 6.7824
2.9499 5.5647 8.7972
4.8613 7.8283 9.2640
1.7644 5.0658 5.8391
6.9217 2.8276 3.9286
8.0883 2.3743 6.7824
5.7643 5.2101 6.4507
2.9733 2.6874 3.3273

Entry 3:
KLi2Cd PBE optimized geometry; N(E_F) = 1.4 states/eV/cell; SG = Cm, No. 8; final energy = -5.7 eV per formula unit
1.0
-2.0916 -4.4503 -2.0459
0.1629 -5.3205 0.1758
-5.1737 -0.7690 4.9491
Li Cd K
2 1 1
Cartesian
-4.7388 -0.8462 4.4775
-5.2725 -7.9374 2.2413
-4.0119 -5.2026 2.0333
-1.8043 -2.5925 0.8155

Entry 4:
KLiCd3 PBE optimized geometry; N(E_F) = 4.9 states/eV/cell; energy relative to the lowest polymorph listed for this composition = 0 meV/atom; SG = P2_1/m, No. 11
1.0
-2.3884 4.4047 -1.0173
-4.7543 -1.6608 3.9713
6.2623 4.3516 4.1388
Cd Li K
6 2 2
Cartesian
-1.8470 0.5579 5.5100
0.5615 2.0850 6.4719
-1.4070 2.9195 1.8421
0.0320 4.8956 7.0362
0.4895 1.3760 3.5545
-3.8225 2.0727 3.8588
-1.4385 3.5626 4.7193
0.5246 0.7265 0.6789
-2.3562 -0.5569 1.8715
1.4396 4.8507 3.5254

Entry 5:
KLi2Cd PBE optimized geometry; N(E_F) = 1.5 states/eV/cell; SG = P2/m, No. 10; final energy = -5.9 eV per formula unit
1.0
-1.8941 -3.2858 -0.3951
2.9313 -1.7653 0.6288
1.1602 -1.7542 9.0264
K Li Cd
1 2 1
Cartesian
2.1216 -4.2825 7.0438
2.1934 -1.7574 4.1005
2.7836 -1.7676 1.3559
0.0758 -2.5228 2.2162

Entry 6:
KLi2Cd PBE optimized geometry; N(E_F) = 2.3 states/eV/cell; SG = P4/mmm, No. 123; final energy = -5.4 eV per formula unit
1.0
-2.0944 -4.6639 -1.1775
3.4136 -2.3459 3.2202
-2.6702 0.4092 3.1286
Li K Cd
2 1 1
Cartesian
0.6596 -3.5049 1.0213
0.0000 0.0000 0.0000
0.3717 -0.9683 3.1744
-2.3823 -2.1274 0.9755

Here are the calculated theoretical density numbers, same order: 2.1, 6.6, 2.3, 4.8, 2.4, 2.4 (g/cm³).